DFT (GGA-PBEsol) results for Mn2CrHg after structural relaxation.

Cell lengths 2.8323, 2.8323, 8.2567 Å; angles 80.12, 80.12, 60.00 degrees
With the nearest neighbours (Å) after each atom.
Positions (direct):
Cr1 0.4842 0.4842 0.5475  3 Mn 2.23
Hg1 0.2492 0.2492 0.2524  6 Hg 2.83, 3 Mn 2.84, 3 Cr 2.89
Mn1 0.0115 0.0115 0.9656  3 Mn 2.48
Mn2 0.7551 0.7551 0.7346  3 Cr 2.23, 3 Mn 2.48

**ΔE_f**: 0.52 eV per atom
**Volume**: 56 Å³ per cell

DFT (GGA-PBEsol) results for MnCrHg3 after structural relaxation.

Cell lengths 4.9954, 4.9954, 4.9954 Å; angles 90.00, 90.00, 90.00 degrees
With the nearest neighbours (Å) after each atom.
Positions (direct):
Cr1 0.5000 0.5000 0.5000  12 Hg 3.53
Mn1 0.0000 0.0000 0.0000  6 Hg 2.50
Hg1 0.0000 0.5000 0.0000  2 Mn 2.50
Hg2 0.0000 0.0000 0.5000  2 Mn 2.50
Hg3 0.5000 0.0000 0.0000  2 Mn 2.50

**Distance to the lowest polymorph of the same formula**: 0 meV per atom
**ΔE_f**: 0.97 eV per atom
**Volume**: 125 Å³ per cell

DFT (GGA-PBEsol) results for MnCrHg2 after structural relaxation.

Cell lengths 4.6587, 4.6587, 4.6587 Å; angles 60.00, 60.00, 60.00 degrees
With the nearest neighbours (Å) after each atom.
Positions (direct):
Cr1 0.5000 0.5000 0.5000  4 Hg 2.85, 4 Mn 2.85
Hg1 0.0000 0.0000 0.0000  4 Mn 2.85, 4 Hg 2.85
Hg2 0.7500 0.7500 0.7500  4 Hg 2.85, 4 Cr 2.85
Mn1 0.2500 0.2500 0.2500  4 Cr 2.85, 4 Hg 2.85

**ΔE_f**: 0.65 eV per atom
**Volume**: 71 Å³ per cell

DFT (GGA-PBEsol) results for CrHgMo after structural relaxation.

Cell lengths 4.3685, 4.3685, 4.3685 Å; angles 60.00, 60.00, 60.00 degrees
With the nearest neighbours (Å) after each atom.
Positions (direct):
Cr1 0.5000 0.5000 0.5000  4 Hg 2.68
Hg1 0.2500 0.2500 0.2500  4 Cr 2.68, 4 Mo 2.68
Mo1 0.0000 0.0000 0.0000  4 Hg 2.68

**Distance to the lowest polymorph of the same formula**: 940 meV per atom
**ΔE_f**: 1.42 eV per atom
**Volume**: 59 Å³ per cell

DFT (GGA-PBEsol) results for CrHgMo after structural relaxation.

Cell lengths 2.7747, 2.7747, 6.8598 Å; angles 97.28, 97.28, 111.92 degrees
With the nearest neighbours (Å) after each atom.
Positions (direct):
Cr1 0.0139 0.0139 0.0277  2 Mo 2.38
Hg1 0.3377 0.3377 0.6753  6 Hg 2.77-3.11, 2 Cr 2.82, 2 Mo 2.97
Mo1 0.6485 0.6485 0.2969  2 Cr 2.38

**Distance to the lowest polymorph of the same formula**: 0 meV per atom
**ΔE_f**: 0.48 eV per atom
**Volume**: 48 Å³ per cell

DFT (GGA-PBEsol) results for Cr2HgMo after structural relaxation.

Cell lengths 3.1595, 3.1595, 5.8435 Å; angles 90.00, 90.00, 90.00 degrees
With the nearest neighbours (Å) after each atom.
Positions (direct):
Cr1 0.0000 0.0000 0.7028  1 Cr 2.37, 4 Mo 2.53
Cr2 0.0000 0.0000 0.2972  1 Cr 2.37, 4 Mo 2.53
Hg1 0.5000 0.5000 0.0000  8 Cr 2.83, 2 Mo 2.92, 4 Hg 3.16
Mo1 0.5000 0.5000 0.5000  8 Cr 2.53

**ΔE_f**: 0.39 eV per atom
**Volume**: 58 Å³ per cell

DFT (GGA-PBEsol) results for Cr2HgMo after structural relaxation.

Cell lengths 3.0502, 4.3106, 5.0665 Å; angles 115.18, 107.52, 90.00 degrees
With the nearest neighbours (Å) after each atom.
Positions (direct):
Cr1 0.0182 0.0182 0.0363  2 Cr 2.34
Cr2 0.7226 0.2226 0.4452  2 Cr 2.34
Hg1 0.4896 0.4896 0.9792  8 Cr 2.65-2.95, 4 Mo 2.86-2.87
Mo1 0.2696 0.7696 0.5393  6 Cr 2.64-2.67, 4 Hg 2.86-2.87

**ΔE_f**: 0.49 eV per atom
**Volume**: 57 Å³ per cell

DFT (GGA-PBEsol) results for CrHg2Mo after structural relaxation.

Cell lengths 2.9110, 5.0908, 4.9647 Å; angles 99.80, 107.05, 90.00 degrees
With the nearest neighbours (Å) after each atom.
Positions (direct):
Cr1 0.0000 0.5000 0.0000  6 Hg 2.86-2.90, 2 Cr 2.91, 4 Mo 2.93
Hg1 0.2528 0.2521 0.5055  3 Cr 2.86-2.90, 3 Mo 2.87-2.90, 6 Hg 2.91-2.94
Hg2 0.7472 0.7479 0.4945  3 Cr 2.86-2.90, 3 Mo 2.87-2.90, 6 Hg 2.91-2.94
Mo1 0.5000 0.0000 0.0000  6 Hg 2.87-2.90, 2 Mo 2.91, 4 Cr 2.93

**Distance to the lowest polymorph of the same formula**: 0 meV per atom
**ΔE_f**: 0.64 eV per atom
**Volume**: 69 Å³ per cell

DFT (GGA-PBEsol) results for CrHg2Mo after structural relaxation.

Cell lengths 4.6166, 4.6166, 4.6166 Å; angles 60.00, 60.00, 60.00 degrees
With the nearest neighbours (Å) after each atom.
Positions (direct):
Cr1 0.0000 0.0000 0.0000  8 Hg 2.83
Hg1 0.7500 0.7500 0.7500  4 Mo 2.83, 4 Cr 2.83
Hg2 0.2500 0.2500 0.2500  4 Cr 2.83, 4 Mo 2.83
Mo1 0.5000 0.5000 0.5000  8 Hg 2.83

**Distance to the lowest polymorph of the same formula**: 24 meV per atom
**ΔE_f**: 0.66 eV per atom
**Volume**: 70 Å³ per cell

DFT (GGA-PBEsol) results for Cr3HgMo after structural relaxation.

Cell lengths 4.8736, 4.8736, 4.8736 Å; angles 90.00, 90.00, 90.00 degrees
With the nearest neighbours (Å) after each atom.
Positions (direct):
Cr1 0.0000 0.5000 0.0000  2 Hg 2.44
Cr2 0.0000 0.0000 0.5000  2 Hg 2.44
Cr3 0.5000 0.0000 0.0000  2 Hg 2.44
Mo1 0.5000 0.5000 0.5000  12 Cr 3.45
Hg1 0.0000 0.0000 0.0000  6 Cr 2.44

**ΔE_f**: 2.26 eV per atom
**Volume**: 116 Å³ per cell

DFT (GGA-PBEsol) results for TiCrHgMo2 after structural relaxation.

Cell lengths 4.7819, 4.9909, 4.9909 Å; angles 90.00, 90.00, 90.00 degrees
With the nearest neighbours (Å) after each atom.
Positions (direct):
Cr1 0.5000 0.5000 0.5000  8 Mo 3.46, 4 Ti 3.53
Mo1 0.0000 0.0000 0.5000  2 Hg 2.50
Mo2 0.0000 0.5000 0.0000  2 Hg 2.50
Hg1 0.0000 0.0000 0.0000  2 Ti 2.39, 4 Mo 2.50
Ti1 0.5000 0.0000 0.0000  2 Hg 2.39

**ΔE_f**: 2.39 eV per atom
**Volume**: 119 Å³ per cell

DFT (GGA-PBEsol) results for Cr2HgSeN after structural relaxation.

Cell lengths 3.8514, 4.7218, 4.7218 Å; angles 90.00, 90.00, 90.00 degrees
With the nearest neighbours (Å) after each atom.
Positions (direct):
Cr1 0.0000 0.0000 0.5000  2 Se 2.36
Cr2 0.0000 0.5000 0.0000  2 Se 2.36
Hg1 0.5000 0.5000 0.5000  8 Cr 3.05, 4 N 3.34
Se1 0.0000 0.0000 0.0000  2 N 1.93
N1 0.5000 0.0000 0.0000  2 Se 1.93

**Total DFT energy (no corrections)**: -5.55 eV/atom
**Volume**: 86 Å³ per cell

DFT (GGA-PBEsol) results for SrCr2HgN after structural relaxation.

Cell lengths 4.4453, 5.1652, 5.1652 Å; angles 90.00, 90.00, 90.00 degrees
With the nearest neighbours (Å) after each atom.
Positions (direct):
Sr1 0.5000 0.5000 0.5000  8 Cr 3.41, 4 N 3.65
N1 0.5000 0.0000 0.0000  2 Hg 2.22
Hg1 0.0000 0.0000 0.0000  2 N 2.22
Cr1 0.0000 0.0000 0.5000  2 Hg 2.58
Cr2 0.0000 0.5000 0.0000  2 Hg 2.58

**Total DFT energy (no corrections)**: -4.79 eV/atom
**Volume**: 119 Å³ per cell

DFT (GGA-PBEsol) results for CrNiHg after structural relaxation.

Cell lengths 3.0868, 3.0868, 5.0381 Å; angles 107.84, 107.84, 90.00 degrees
With the nearest neighbours (Å) after each atom.
Positions (direct):
Cr1 0.0235 0.0235 0.0469  4 Ni 2.45
Hg1 0.3301 0.3301 0.6601  5 Ni 2.75-2.87, 5 Cr 2.78-2.80
Ni1 0.6465 0.6465 0.2929  4 Cr 2.45

**ΔE_f**: 0.32 eV per atom
**Volume**: 43 Å³ per cell

DFT (GGA-PBEsol) results for CrNi2Hg after structural relaxation.

Cell lengths 2.7427, 4.0263, 5.0865 Å; angles 90.00, 105.65, 90.00 degrees
With the nearest neighbours (Å) after each atom.
Positions (direct):
Cr1 0.9057 0.0000 0.4355  7 Ni 2.51-2.80, 2 Cr 2.74
Hg1 0.5802 0.5000 0.7866  7 Ni 2.53-2.74, 2 Hg 2.74
Ni1 0.1904 0.0000 0.0068  2 Ni 2.39, 2 Cr 2.51, 4 Hg 2.66
Ni2 0.3237 0.5000 0.2711  2 Ni 2.39, 1 Hg 2.53, 4 Cr 2.57

**ΔE_f**: 0.35 eV per atom
**Volume**: 54 Å³ per cell

DFT (GGA-PBEsol) results for CrHgO4 after structural relaxation.

Cell lengths 5.2726, 5.2726, 7.1148 Å; angles 90.00, 90.00, 114.36 degrees
With the nearest neighbours (Å) after each atom.
Positions (direct):
Cr1 0.6405 0.3595 0.7500  4 O 1.62-1.69
Cr2 0.3595 0.6405 0.2500  4 O 1.62-1.69
Hg1 0.0000 0.0000 0.0000  6 O 2.30-2.33
Hg2 0.0000 0.0000 0.5000  6 O 2.30-2.33
O1 0.7103 0.7734 0.2500  1 Cr 1.69
O2 0.2897 0.2266 0.7500  1 Cr 1.69
O3 0.7734 0.7103 0.7500  1 Cr 1.69
O4 0.2266 0.2897 0.2500  1 Cr 1.69
O5 0.2552 0.7448 0.4374  1 Cr 1.62
O6 0.7448 0.2552 0.9374  1 Cr 1.62
O7 0.7448 0.2552 0.5626  1 Cr 1.62
O8 0.2552 0.7448 0.0626  1 Cr 1.62

**Distance to the lowest polymorph of the same formula**: 0 meV per atom
**Volume**: 180 Å³ per cell

DFT (GGA-PBEsol) results for CrHg5O6 after structural relaxation.

Cell lengths 6.5695, 8.1482, 8.1482 Å; angles 92.32, 96.38, 96.38 degrees
With the nearest neighbours (Å) after each atom.
Positions (direct):
Cr1 0.7500 0.6830 0.3170  4 O 1.66
Cr2 0.2500 0.3170 0.6830  4 O 1.66
Hg1 0.6972 0.6511 0.7968  1 O 2.17
Hg2 0.8028 0.2032 0.3489  1 O 2.17
Hg3 0.3028 0.3489 0.2032  1 O 2.17
Hg4 0.1972 0.7968 0.6511  1 O 2.17
Hg5 0.7066 0.0680 0.6123  1 O 2.15
Hg6 0.2066 0.6123 0.0680  1 O 2.15
Hg7 0.2934 0.9320 0.3877  1 O 2.15
Hg8 0.7934 0.3877 0.9320  1 O 2.15
Hg9 0.0000 0.0000 0.0000  2 O 2.06
Hg10 0.5000 0.0000 0.0000  2 O 2.06
O1 0.7958 0.7245 0.5194  1 Cr 1.66
O2 0.7042 0.4806 0.2755  1 Cr 1.66
O3 0.2042 0.2755 0.4806  1 Cr 1.66
O4 0.2958 0.5194 0.7245  1 Cr 1.66
O5 0.9540 0.7612 0.2304  1 Cr 1.66
O6 0.5460 0.7696 0.2388  1 Cr 1.66
O7 0.0460 0.2388 0.7696  1 Cr 1.66
O8 0.4540 0.2304 0.7612  1 Cr 1.66
O9 0.8641 0.1941 0.0923  3 Hg 2.06-2.17
O10 0.6359 0.9077 0.8059  3 Hg 2.06-2.17
O11 0.1359 0.8059 0.9077  3 Hg 2.06-2.17
O12 0.3641 0.0923 0.1941  3 Hg 2.06-2.17

**Total DFT energy (no corrections)**: -4.48 eV/atom
**Volume**: 430 Å³ per cell

DFT (GGA-PBEsol) results for Cr2HgO7 after structural relaxation.

Cell lengths 7.2169, 7.2169, 9.5722 Å; angles 90.00, 90.00, 120.00 degrees
With the nearest neighbours (Å) after each atom.
Positions (direct):
Cr1 0.5784 0.6542 0.0093  4 O 1.60-1.75
Cr2 0.0256 0.2570 0.6672  4 O 1.59-1.75
Cr3 0.7430 0.7687 0.3338  4 O 1.59-1.75
Cr4 0.3458 0.9242 0.6759  4 O 1.60-1.75
Cr5 0.2314 0.9744 0.0005  4 O 1.59-1.75
Cr6 0.0758 0.4216 0.3426  4 O 1.60-1.75
Hg1 0.3949 0.0920 0.3369  2 O 2.04
Hg2 0.9080 0.3029 0.0036  2 O 2.04
Hg3 0.6971 0.6051 0.6702  2 O 2.04
O1 0.1221 0.7232 0.0258  1 Cr 1.59
O2 0.8912 0.3021 0.2164  1 Cr 1.68
O3 0.9887 0.9536 0.3393  1 Cr 1.60
O4 0.6011 0.8779 0.3591  1 Cr 1.59
O5 0.9553 0.3082 0.5029  2 Cr 1.75
O6 0.6040 0.8845 0.9845  1 Cr 1.60
O7 0.2804 0.3960 0.3179  1 Cr 1.60
O8 0.6918 0.6470 0.1696  2 Cr 1.75
O9 0.6979 0.5891 0.8831  1 Cr 1.68
O10 0.4154 0.1121 0.1243  1 Cr 1.68
O11 0.0464 0.0351 0.0059  1 Cr 1.60
O12 0.3530 0.0447 0.8362  2 Cr 1.75
O13 0.9649 0.0113 0.6726  1 Cr 1.60
O14 0.5174 0.8462 0.6786  1 Cr 1.60
O15 0.6967 0.5846 0.4576  1 Cr 1.68
O16 0.8879 0.3033 0.7910  1 Cr 1.68
O17 0.1155 0.7196 0.6512  1 Cr 1.60
O18 0.4109 0.1088 0.5497  1 Cr 1.68
O19 0.1538 0.6712 0.3453  1 Cr 1.60
O20 0.3288 0.4826 0.0119  1 Cr 1.60
O21 0.2768 0.3989 0.6925  1 Cr 1.59

**Total DFT energy (no corrections)**: -7.13 eV/atom
**Volume**: 432 Å³ per cell

DFT (GGA-PBEsol) results for CrHgO4 after structural relaxation.

Cell lengths 5.4857, 7.3115, 8.5166 Å; angles 90.00, 90.00, 94.29 degrees
With the nearest neighbours (Å) after each atom.
Positions (direct):
Cr1 0.2280 0.8402 0.3102  4 O 1.61-1.69
Cr2 0.7280 0.3402 0.1898  4 O 1.61-1.69
Cr3 0.2720 0.6598 0.8102  4 O 1.61-1.69
Cr4 0.7720 0.1598 0.6898  4 O 1.61-1.69
Hg1 0.2452 0.3368 0.4623  2 O 2.13
Hg2 0.2548 0.1632 0.9623  2 O 2.13
Hg3 0.7548 0.6632 0.5377  2 O 2.13
Hg4 0.7452 0.8368 0.0377  2 O 2.13
O1 0.5055 0.7825 0.2779  1 Cr 1.63
O2 0.9945 0.7175 0.7779  1 Cr 1.63
O3 0.4945 0.2175 0.7221  1 Cr 1.63
O4 0.0055 0.2825 0.2221  1 Cr 1.63
O5 0.2376 0.0118 0.4293  1 Cr 1.61
O6 0.2624 0.4882 0.9293  1 Cr 1.61
O7 0.7624 0.9882 0.5707  1 Cr 1.61
O8 0.7376 0.5118 0.0707  1 Cr 1.61
O9 0.5960 0.3965 0.3605  1 Cr 1.69
O10 0.9040 0.1035 0.8605  1 Cr 1.69
O11 0.4040 0.6035 0.6395  1 Cr 1.69
O12 0.0960 0.8965 0.1395  1 Cr 1.69
O13 0.5658 0.1581 0.1116  1 Cr 1.68
O14 0.9342 0.3419 0.6116  1 Cr 1.68
O15 0.4342 0.8419 0.8884  1 Cr 1.68
O16 0.0658 0.6581 0.3884  1 Cr 1.68

**Distance to the lowest polymorph of the same formula**: 4 meV per atom
**Volume**: 341 Å³ per cell

DFT (GGA-PBEsol) results for Cr2HgO4 after structural relaxation.

Cell lengths 6.1231, 6.1231, 6.1231 Å; angles 60.00, 60.00, 60.00 degrees
With the nearest neighbours (Å) after each atom.
Positions (direct):
Cr1 0.1250 0.6250 0.1250  6 O 1.99
Cr2 0.1250 0.1250 0.6250  6 O 1.99
Cr3 0.1250 0.1250 0.1250  6 O 1.99
Cr4 0.6250 0.1250 0.1250  6 O 1.99
Hg1 0.7500 0.7500 0.7500  4 O 2.20
Hg2 0.5000 0.5000 0.5000  4 O 2.20
O1 0.3100 0.8967 0.8967  3 Cr 1.99, 1 Hg 2.20
O2 0.3533 0.3533 0.3533  3 Cr 1.99, 1 Hg 2.20
O3 0.3533 0.9400 0.3533  3 Cr 1.99, 1 Hg 2.20
O4 0.3533 0.3533 0.9400  3 Cr 1.99, 1 Hg 2.20
O5 0.8967 0.3100 0.8967  3 Cr 1.99, 1 Hg 2.20
O6 0.8967 0.8967 0.3100  3 Cr 1.99, 1 Hg 2.20
O7 0.9400 0.3533 0.3533  3 Cr 1.99, 1 Hg 2.20
O8 0.8967 0.8967 0.8967  3 Cr 1.99, 1 Hg 2.20

**Total DFT energy (no corrections)**: -7.46 eV/atom
**Volume**: 162 Å³ per cell

DFT (GGA-PBEsol) results for CrHg3Pb2O8 after structural relaxation.

Cell lengths 6.4880, 6.9330, 21.5995 Å; angles 90.00, 90.00, 109.24 degrees
With the nearest neighbours (Å) after each atom.
Positions (direct):
Cr1 0.5877 0.8641 0.6104  4 O 1.64-1.66
Cr2 0.4123 0.6359 0.1104  4 O 1.64-1.66
Cr3 0.5877 0.3641 0.8896  4 O 1.64-1.66
Cr4 0.4123 0.1359 0.3896  4 O 1.64-1.66
Hg1 0.5048 0.8210 0.9438  2 O 2.00-2.03
Hg2 0.3567 0.5929 0.2813  2 O 2.00-2.03
Hg3 0.4952 0.1790 0.0562  2 O 2.00-2.03
Hg4 0.6433 0.9071 0.7813  2 O 2.00-2.03
Hg5 0.9278 0.1296 0.1386  2 O 2.08-2.09
Hg6 0.9278 0.6296 0.3614  2 O 2.08-2.09
Hg7 0.6433 0.4071 0.7187  2 O 2.00-2.03
Hg8 0.3567 0.0929 0.2187  2 O 2.00-2.03
Hg9 0.0722 0.8704 0.8614  2 O 2.08-2.09
Hg10 0.4952 0.6790 0.4438  2 O 2.00-2.03
Hg11 0.0722 0.3704 0.6386  2 O 2.08-2.09
Hg12 0.5048 0.3210 0.5562  2 O 2.00-2.03
Pb1 0.9739 0.2365 0.4753  3 O 2.31-2.40
Pb2 0.8327 0.5719 0.1984  3 O 2.27-2.48
Pb3 0.9739 0.7365 0.0247  3 O 2.31-2.40
Pb4 0.0261 0.2635 0.9753  3 O 2.31-2.40
Pb5 0.1673 0.9281 0.6984  3 O 2.27-2.48
Pb6 0.1673 0.4281 0.8016  3 O 2.27-2.48
Pb7 0.0261 0.7635 0.5247  3 O 2.31-2.40
Pb8 0.8327 0.0719 0.3016  3 O 2.27-2.48
O1 0.6876 0.9463 0.5413  1 Cr 1.65
O2 0.2601 0.2585 0.3584  1 Cr 1.64
O3 0.6876 0.4463 0.9587  1 Cr 1.65
O4 0.8283 0.9168 0.9574  1 Hg 2.00
O5 0.3124 0.5537 0.0413  1 Cr 1.65
O6 0.7399 0.7415 0.6416  1 Cr 1.64
O7 0.8283 0.4168 0.5426  1 Hg 2.00
O8 0.6693 0.7871 0.1030  1 Cr 1.66
O9 0.2601 0.7585 0.1416  1 Cr 1.64
O10 0.3124 0.0537 0.4587  1 Cr 1.65
O11 0.4173 0.4432 0.1555  1 Cr 1.66
O12 0.0262 0.0002 0.2157  2 Hg 2.03-2.09
O13 0.3307 0.2129 0.8970  1 Cr 1.66
O14 0.3170 0.7964 0.7758  1 Hg 2.00
O15 0.7399 0.2415 0.8584  1 Cr 1.64
O16 0.5827 0.0568 0.6555  1 Cr 1.66
O17 0.5827 0.5568 0.8445  1 Cr 1.66
O18 0.0262 0.5002 0.2843  2 Hg 2.03-2.09
O19 0.6829 0.2036 0.2242  1 Hg 2.00
O20 0.6693 0.2871 0.3970  1 Cr 1.66
O21 0.1760 0.7234 0.9327  2 Hg 2.03-2.08
O22 0.8240 0.7766 0.4327  2 Hg 2.03-2.08
O23 0.1760 0.2234 0.5673  2 Hg 2.03-2.08
O24 0.9738 0.4998 0.7157  2 Hg 2.03-2.09
O25 0.8240 0.2766 0.0673  2 Hg 2.03-2.08
O26 0.1717 0.0832 0.0426  1 Hg 2.00
O27 0.4173 0.9432 0.3445  1 Cr 1.66
O28 0.6829 0.7036 0.2758  1 Hg 2.00
O29 0.9738 0.9998 0.7843  2 Hg 2.03-2.09
O30 0.1717 0.5832 0.4574  1 Hg 2.00
O31 0.3307 0.7129 0.6030  1 Cr 1.66
O32 0.3170 0.2964 0.7242  1 Hg 2.00

**Total DFT energy (no corrections)**: -5.44 eV/atom
**Volume**: 917 Å³ per cell